Record 1
VASP calculation (PBE) on a relaxed ZrRhAu2O crystal.

## Properties
Formation energy (no corrections) = 0.16 eV/atom
Uncorrected energy = -5.327 eV per atom

Unit cell a=4.432 b=4.432 c=4.329 alpha=90.00 beta=90.00 gamma=90.00
Space group P4/mmm (No. 123)
Inequivalent atoms, fractional coordinates:
1 Zr 0.000 0.000 0.000 x1
2 Rh 0.500 0.500 0.000 x1
3 Au 0.000 0.500 0.500 x2
4 O 0.500 0.500 0.500 x1

Record 2
VASP calculation (PBE) on a relaxed Ru2AuO crystal.

## Properties
Formation energy (no corrections) = 0.50 eV/atom
Uncorrected energy = -6.201 eV per atom

Unit cell a=4.604 b=4.604 c=12.793 alpha=90.00 beta=90.00 gamma=90.00
Space group I-42d (No. 122)
Inequivalent atoms, fractional coordinates:
1 Ru 0.098 0.250 0.125 x8
2 Au 0.000 0.000 0.500 x4
3 O 0.000 0.000 0.000 x4

Record 3
VASP calculation (PBE) on a relaxed RuAuO3 crystal.

## Properties
Formation energy (no corrections) = -0.12 eV/atom
Uncorrected energy = -5.606 eV per atom

Unit cell a=3.877 b=3.877 c=3.877 alpha=90.00 beta=90.00 gamma=90.00
Space group Pm-3m (No. 221)
Inequivalent atoms, fractional coordinates:
1 Ru 0.000 0.000 0.000 x1
2 Au 0.500 0.500 0.500 x1
3 O 0.000 0.000 0.500 x3

Record 4
VASP calculation (PBE) on a relaxed RuAu2O crystal.

## Properties
Formation energy (no corrections) = 0.71 eV/atom
Uncorrected energy = -4.487 eV per atom

Unit cell a=7.030 b=7.030 c=5.080 alpha=90.00 beta=90.00 gamma=90.00
Space group I-42d (No. 122)
Inequivalent atoms, fractional coordinates:
1 Ru 0.000 0.000 0.000 x4
2 Au 0.206 0.250 0.625 x8
3 O 0.000 0.000 0.500 x4

Record 5
VASP calculation (PBE) on a relaxed Ru3AuO crystal.

## Properties
Formation energy (no corrections) = 2.60 eV/atom
Uncorrected energy = -4.614 eV per atom
Distance to the lowest polymorph of the same formula = 2218 meV/atom

Unit cell a=4.933 b=4.933 c=4.933 alpha=90.00 beta=90.00 gamma=90.00
Space group Pm-3m (No. 221)
Inequivalent atoms, fractional coordinates:
1 Ru 0.000 0.000 0.500 x3
2 Au 0.000 0.000 0.000 x1
3 O 0.500 0.500 0.500 x1

Record 6
VASP calculation (PBE) on a relaxed Ru3AuO12 crystal.

## Properties
Formation energy (no corrections) = -0.52 eV/atom
Uncorrected energy = -6.184 eV per atom

Unit cell a=9.0421 b=9.0421 c=29.7385 alpha=90.00 beta=90.00 gamma=120.00
Space group R3c (No. 161, hexagonal axes)
Inequivalent atoms, fractional coordinates:
1 Ru 0.0177 0.3856 0.0000 x18
2 Au 0.0000 0.0000 0.2483 x6
3 O 0.0810 0.5153 0.9518 x18
4 O 0.1572 0.3839 0.6506 x18
5 O 0.1969 0.4123 0.0277 x18
6 O 0.2103 0.4301 0.3688 x18

Record 7
VASP calculation (PBE) on a relaxed RuAuO3 crystal.

## Properties
Formation energy (no corrections) = 0.86 eV/atom
Uncorrected energy = -4.623 eV per atom

Unit cell a=4.031 b=4.031 c=4.031 alpha=90.00 beta=90.00 gamma=90.00
Space group Pm-3m (No. 221)
Inequivalent atoms, fractional coordinates:
1 Ru 0.000 0.000 0.000 x1
2 Au 0.500 0.500 0.500 x1
3 O 0.000 0.500 0.500 x3

Record 8
VASP calculation (PBE) on a relaxed Ru3AuO crystal.

## Properties
Formation energy (no corrections) = 0.38 eV/atom
Uncorrected energy = -6.832 eV per atom
Distance to the lowest polymorph of the same formula = 0 meV/atom

Unit cell a=4.106 b=4.106 c=4.106 alpha=90.00 beta=90.00 gamma=90.00
Space group Pm-3m (No. 221)
Inequivalent atoms, fractional coordinates:
1 Ru 0.000 0.000 0.500 x3
2 Au 0.500 0.500 0.500 x1
3 O 0.000 0.000 0.000 x1

Please write out number 4 again, unchanged.
VASP calculation (PBE) on a relaxed RuAu2O crystal.

## Properties
Formation energy (no corrections) = 0.71 eV/atom
Uncorrected energy = -4.487 eV per atom

Unit cell a=7.030 b=7.030 c=5.080 alpha=90.00 beta=90.00 gamma=90.00
Space group I-42d (No. 122)
Inequivalent atoms, fractional coordinates:
1 Ru 0.000 0.000 0.000 x4
2 Au 0.206 0.250 0.625 x8
3 O 0.000 0.000 0.500 x4